Record 1
DFT (PBE) results for NdDy2Tm3Sb6 after structural relaxation.

POSCAR file:
```
NdDy2Tm3Sb6
1.0
9.553 -2.193 0.000
9.553 2.193 0.000
-1.999 0.000 8.536
Nd Dy Tm Sb
1 2 3 6
Direct
0.000 0.000 0.000 Nd
0.333 0.333 0.666 Dy
0.667 0.667 0.334 Dy
0.000 0.000 0.500 Tm
0.334 0.334 0.168 Tm
0.666 0.666 0.832 Tm
0.166 0.166 0.585 Sb
0.170 0.170 0.083 Sb
0.500 0.500 0.258 Sb
0.500 0.500 0.742 Sb
0.830 0.830 0.917 Sb
0.834 0.834 0.415 Sb
```

Output
Volume   29.80 A^3/atom
Space-group type   C2/m, No. 12
VASP energy   -5.449 eV per atom
DOS at the Fermi energy   1.9 states/eV/cell
Size of the total moment   0.00 μB/cell
Crystal system   monoclinic



Record 2
DFT (PBE) results for HoPa3S6 after structural relaxation.

POSCAR file:
```
HoPa3S6
1.0
10.951 0.000 0.000
0.000 3.833 0.000
-3.353 0.000 10.877
Ho Pa S
2 6 12
Direct
0.044 0.250 0.192 Ho
0.956 0.750 0.808 Ho
0.148 0.250 0.570 Pa
0.318 0.750 0.997 Pa
0.421 0.250 0.336 Pa
0.579 0.750 0.664 Pa
0.682 0.250 0.003 Pa
0.852 0.750 0.430 Pa
0.083 0.750 0.388 S
0.115 0.250 0.963 S
0.192 0.750 0.748 S
0.249 0.750 0.216 S
0.397 0.250 0.571 S
0.491 0.250 0.125 S
0.509 0.750 0.875 S
0.603 0.750 0.429 S
0.751 0.250 0.784 S
0.808 0.250 0.252 S
0.885 0.750 0.037 S
0.917 0.250 0.612 S
```

Output
Volume   22.83 A^3/atom
Space-group type   P2_1/m, No. 11
VASP energy   -7.420 eV per atom
DOS at the Fermi energy   24.0 states/eV/cell
Size of the total moment   8.20 μB/cell
Crystal system   monoclinic



Record 3
DFT (PBE) results for La3Nd4Pt4 after structural relaxation.

POSCAR file:
```
La3Nd4Pt4
1.0
-2.398 3.944 8.084
2.398 -3.944 8.084
2.398 3.944 -8.084
La Nd Pt
3 4 4
Direct
0.000 0.000 0.000 La
0.404 0.904 0.500 La
0.596 0.096 0.500 La
0.048 0.330 0.718 Nd
0.388 0.670 0.718 Nd
0.612 0.330 0.282 Nd
0.952 0.670 0.282 Nd
0.202 0.202 0.000 Pt
0.313 0.500 0.813 Pt
0.687 0.500 0.187 Pt
0.798 0.798 0.000 Pt
```

Output
Volume   27.80 A^3/atom
Space-group type   Immm, No. 71
VASP energy   -6.081 eV per atom
DOS at the Fermi energy   12.2 states/eV/cell
ΔH_f (0 K)   -0.807 eV per atom
Size of the total moment   0.00 μB/cell
Crystal system   orthorhombic



Record 4
DFT (PBE) results for LiCaSn2 after structural relaxation.

POSCAR file:
```
LiCaSn2
1.0
3.696 0.000 0.000
0.000 3.696 0.000
0.000 0.000 7.151
Li Ca Sn
1 1 2
Direct
0.000 0.000 0.000 Li
0.000 0.000 0.500 Ca
0.500 0.500 0.211 Sn
0.500 0.500 0.789 Sn
```

Output
Volume   24.41 A^3/atom
Space-group type   P4/mmm, No. 123
VASP energy   -3.447 eV per atom
DOS at the Fermi energy   1.5 states/eV/cell
ΔH_f (0 K)   -0.467 eV per atom
Size of the total moment   0.00 μB/cell
Crystal system   tetragonal



Record 5
DFT (PBE) results for Tm6CdC3 after structural relaxation.

POSCAR file:
```
Tm6CdC3
1.0
10.876 0.000 0.000
0.000 3.537 0.000
-2.239 0.000 10.913
Tm Cd C
12 2 6
Direct
0.030 0.250 0.133 Tm
0.112 0.750 0.451 Tm
0.167 0.250 0.742 Tm
0.268 0.750 0.017 Tm
0.310 0.250 0.305 Tm
0.425 0.250 0.596 Tm
0.575 0.750 0.404 Tm
0.690 0.750 0.695 Tm
0.732 0.250 0.983 Tm
0.833 0.750 0.258 Tm
0.888 0.250 0.549 Tm
0.970 0.750 0.867 Tm
0.471 0.750 0.853 Cd
0.529 0.250 0.147 Cd
0.027 0.750 0.647 C
0.124 0.250 0.943 C
0.357 0.750 0.450 C
0.643 0.250 0.550 C
0.876 0.750 0.057 C
0.973 0.250 0.353 C
```

Output
Volume   20.99 A^3/atom
Space-group type   P2_1/m, No. 11
VASP energy   -5.811 eV per atom
DOS at the Fermi energy   13.3 states/eV/cell
ΔH_f (0 K)   -0.270 eV per atom
Size of the total moment   0.52 μB/cell
Crystal system   monoclinic



Record 6
DFT (PBE) results for PmPaCSe after structural relaxation.

POSCAR file:
```
PmPaCSe
1.0
1.976 1.141 13.856
-1.976 1.141 13.856
0.000 -2.281 13.856
Pm Pa C Se
2 2 2 2
Direct
0.203 0.203 0.203 Pm
0.797 0.797 0.797 Pm
0.368 0.368 0.368 Pa
0.632 0.632 0.632 Pa
0.312 0.312 0.312 C
0.688 0.688 0.688 C
0.084 0.084 0.084 Se
0.916 0.916 0.916 Se
```

Output
Volume   23.42 A^3/atom
Space-group type   R-3m, No. 166
VASP energy   -7.622 eV per atom
DOS at the Fermi energy   4.6 states/eV/cell
Size of the total moment   1.07 μB/cell
Crystal system   trigonal



Record 7
DFT (PBE) results for AsH2Cl after structural relaxation.

POSCAR file:
```
AsH2Cl
1.0
5.340 0.000 0.000
0.000 5.340 0.000
0.000 0.000 8.385
As H Cl
4 8 4
Direct
0.000 0.250 0.375 As
0.000 0.750 0.625 As
0.500 0.250 0.125 As
0.500 0.750 0.875 As
0.000 0.000 0.500 H
0.000 0.500 0.500 H
0.250 0.250 0.250 H
0.250 0.750 0.750 H
0.500 0.000 0.000 H
0.500 0.500 0.000 H
0.750 0.250 0.250 H
0.750 0.750 0.750 H
0.000 0.250 0.875 Cl
0.000 0.750 0.125 Cl
0.500 0.250 0.625 Cl
0.500 0.750 0.375 Cl
```

Output
Energy above the lowest structure with this stoichiometry   158 meV/atom
Volume   14.94 A^3/atom
Space-group type   I4_1/amd, No. 141
VASP energy   -3.071 eV per atom
DOS at the Fermi energy   1.9 states/eV/cell
Size of the total moment   0.00 μB/cell
Crystal system   tetragonal



Record 8
DFT (PBE) results for ErTmIrPb after structural relaxation.

POSCAR file:
```
ErTmIrPb
1.0
7.188 0.000 0.000
0.000 7.188 0.000
0.000 0.000 7.188
Er Tm Ir Pb
4 4 4 4
Direct
0.000 0.000 0.000 Er
0.000 0.500 0.500 Er
0.500 0.000 0.500 Er
0.500 0.500 0.000 Er
0.000 0.000 0.500 Tm
0.000 0.500 0.000 Tm
0.500 0.000 0.000 Tm
0.500 0.500 0.500 Tm
0.250 0.250 0.250 Ir
0.250 0.750 0.750 Ir
0.750 0.250 0.750 Ir
0.750 0.750 0.250 Ir
0.250 0.250 0.750 Pb
0.250 0.750 0.250 Pb
0.750 0.250 0.250 Pb
0.750 0.750 0.750 Pb
```

Output
Energy above the lowest structure with this stoichiometry   206 meV/atom
Volume   23.21 A^3/atom
Space-group type   F-43m, No. 216
VASP energy   -5.900 eV per atom
DOS at the Fermi energy   15.1 states/eV/cell
ΔH_f (0 K)   -0.500 eV per atom
Size of the total moment   0.00 μB/cell
Crystal system   cubic



- What is the VASP energy in the second record?
  -7.420 eV per atom